Compound: LiAs2Pb
Source: Alexandria via LeMat-Bulk
Functional: SCAN
Structure: PBEsol geometry

Cell lengths 3.773, 3.773, 5.959 Å; angles 90.00, 90.00, 90.00 degrees
Sites, in units of the cell vectors:
1 Pb 0.500 0.500 0.500
2 As 0.000 0.000 0.800
3 As 0.000 0.000 0.200
4 Li 0.500 0.500 0.000

Results
Total moment, μB per formula unit: 0.0
Electronic total energy, eV per cell: -119.16
Space group: No. 123


Compound: LiAs2Pb
Source: Alexandria via LeMat-Bulk
Functional: SCAN
Structure: PBEsol geometry

Cell lengths 3.589, 4.660, 5.775 Å; angles 100.90, 90.00, 112.65 degrees
Sites, in units of the cell vectors:
1 Pb 0.000 0.000 0.500
2 As 0.752 0.504 0.837
3 As 0.248 0.496 0.163
4 Li 0.500 0.000 0.000

Results
Total moment, μB per formula unit: 0.0
Electronic total energy, eV per cell: -119.26
Space group: No. 12


Compound: LiAs2Pb
Source: Alexandria via LeMat-Bulk
Functional: SCAN
Structure: PBEsol geometry

Cell lengths 4.352, 4.352, 5.404 Å; angles 113.74, 113.74, 90.00 degrees
Sites, in units of the cell vectors:
1 As 0.000 0.000 0.000
2 As 0.750 0.250 0.500
3 Li 0.500 0.500 0.000
4 Pb 0.250 0.750 0.500

Results
Total moment, μB per formula unit: 0.0
Electronic total energy, eV per cell: -118.38
Space group: No. 119


Compound: LiAs2Pb
Source: Alexandria via LeMat-Bulk
Functional: SCAN
Structure: PBEsol geometry

Cell lengths 3.603, 3.603, 8.131 Å; angles 77.20, 77.20, 60.00 degrees
Sites, in units of the cell vectors:
1 As 0.016 0.016 0.951
2 As 0.744 0.744 0.767
3 Li 0.488 0.488 0.536
4 Pb 0.251 0.251 0.246

Results
Total moment, μB per formula unit: 0.0
Electronic total energy, eV per cell: -118.96
Space group: No. 160


Compound: Li2As2Pd
Source: Alexandria via LeMat-Bulk
Functional: SCAN
Structure: PBEsol geometry

Cell lengths 4.131, 6.327, 6.327 Å; angles 90.00, 90.00, 90.00 degrees
Sites, in units of the cell vectors:
1 As 0.000 0.362 0.862
2 As 0.000 0.862 0.638
3 As 0.000 0.638 0.138
4 As 0.000 0.138 0.362
5 Pd 0.000 0.000 0.000
6 Pd 0.000 0.500 0.500
7 Li 0.500 0.168 0.668
8 Li 0.500 0.668 0.832
9 Li 0.500 0.832 0.332
10 Li 0.500 0.332 0.168

Results
Total moment, μB per formula unit: 0.0
Electronic total energy, eV per cell: -162.33
Space group: No. 127


Compound: LiAsPt
Source: Alexandria via LeMat-Bulk
Functional: SCAN
Structure: PBEsol geometry

Cell lengths 2.843, 4.280, 4.280 Å; angles 120.00, 90.00, 90.00 degrees
Sites, in units of the cell vectors:
1 As 0.166 0.000 0.000
2 Pt 0.167 0.667 0.333
3 Li 0.667 0.333 0.667

Results
Total moment, μB per formula unit: 0.0
Electronic total energy, eV per cell: -94.85
Space group: No. 187


Compound: Li2AsPt
Source: Alexandria via LeMat-Bulk
Functional: SCAN
Structure: PBEsol geometry

Cell lengths 3.722, 3.722, 4.775 Å; angles 112.94, 112.94, 90.00 degrees
Sites, in units of the cell vectors:
1 As 0.500 0.500 0.000
2 Pt 0.000 0.000 0.000
3 Li 0.750 0.250 0.500
4 Li 0.250 0.750 0.500

Results
Total moment, μB per formula unit: 0.0
Electronic total energy, eV per cell: -97.93
Space group: No. 139


Compound: LiAs2Pt2
Source: Alexandria via LeMat-Bulk
Functional: SCAN
Structure: PBEsol geometry

Cell lengths 3.167, 7.243, 7.243 Å; angles 90.00, 90.00, 90.00 degrees
Sites, in units of the cell vectors:
1 As 0.500 0.164 0.664
2 As 0.500 0.664 0.836
3 As 0.500 0.836 0.336
4 As 0.500 0.336 0.164
5 Pt 0.000 0.362 0.862
6 Pt 0.000 0.862 0.638
7 Pt 0.000 0.638 0.138
8 Pt 0.000 0.138 0.362
9 Li 0.000 0.000 0.000
10 Li 0.000 0.500 0.500

Results
Total moment, μB per formula unit: 0.0
Electronic total energy, eV per cell: -369.67
Space group: No. 127


Compound: Li2AsPt
Source: Alexandria via LeMat-Bulk
Functional: SCAN
Structure: PBEsol geometry

Cell lengths 2.768, 3.894, 5.161 Å; angles 90.00, 90.00, 90.00 degrees
Sites, in units of the cell vectors:
1 As 0.500 0.500 0.500
2 Pt 0.500 0.500 0.000
3 Li 0.000 0.000 0.753
4 Li 0.000 0.000 0.247

Results
Total moment, μB per formula unit: 0.0
Electronic total energy, eV per cell: -97.80
Space group: No. 47


Compound: Li2AsPt
Source: Alexandria via LeMat-Bulk
Functional: SCAN
Structure: PBEsol geometry

Cell lengths 2.794, 4.373, 4.678 Å; angles 90.00, 89.94, 90.00 degrees
Sites, in units of the cell vectors:
1 As 0.375 0.500 0.751
2 Pt 0.375 0.000 0.493
3 Li 0.874 0.000 0.980
4 Li 0.876 0.500 0.277

Results
Total moment, μB per formula unit: 0.0
Electronic total energy, eV per cell: -97.72
Space group: No. 25


Compound: Li2AsPt
Source: Alexandria via LeMat-Bulk
Functional: SCAN
Structure: PBEsol geometry

Cell lengths 3.736, 3.736, 3.930 Å; angles 90.00, 90.00, 90.00 degrees
Sites, in units of the cell vectors:
1 As 0.000 0.000 0.500
2 Pt 0.500 0.500 0.500
3 Li 0.000 0.500 0.000
4 Li 0.500 0.000 0.000

Results
Total moment, μB per formula unit: 0.0
Electronic total energy, eV per cell: -97.88
Space group: No. 123


Compound: Li2AsPt
Source: Alexandria via LeMat-Bulk
Functional: SCAN
Structure: PBEsol geometry

Cell lengths 4.178, 4.178, 4.815 Å; angles 64.29, 64.29, 60.00 degrees
Sites, in units of the cell vectors:
1 As 0.795 0.795 0.614
2 Pt 0.459 0.459 0.624
3 Li 0.017 0.017 0.949
4 Li 0.242 0.242 0.275

Results
Total moment, μB per formula unit: 0.0
Electronic total energy, eV per cell: -98.31
Space group: No. 160